# 1
# YHgPbF2 (PBE, relaxed)
data_YHgPbF2
_chemical_formula_sum 'Y1 Hg1 Pb1 F2'
_space_group_name_H-M_alt 'P 1'
_space_group_IT_number 1
_space_group_name_Hall 'P 1'
_cell_length_a 4.3676
_cell_length_b 4.3676
_cell_length_c 6.7245
_cell_angle_alpha 90.00
_cell_angle_beta 90.00
_cell_angle_gamma 90.00
loop_
_atom_site_label
_atom_site_fract_x
_atom_site_fract_y
_atom_site_fract_z
Y1 0.0000 0.0000 0.0000
Hg1 0.5000 0.5000 0.5000
Pb1 0.0000 0.0000 0.5000
F1 0.0000 0.5000 0.0000
F2 0.5000 0.0000 0.0000
# density: 6.92 g/cm³
# formation energy (no corrections): -2.124 eV per atom
# E_tot: -0.1826 hartree per atom

=====

# 2
# ZnHg2PbF8 (PBE, relaxed)
data_ZnHg2PbF8
_chemical_formula_sum 'Zn1 Hg2 Pb1 F8'
_space_group_name_H-M_alt 'P 1'
_space_group_IT_number 1
_space_group_name_Hall 'P 1'
_cell_length_a 4.6281
_cell_length_b 7.4529
_cell_length_c 5.4714
_cell_angle_alpha 90.00
_cell_angle_beta 90.42
_cell_angle_gamma 90.00
loop_
_atom_site_label
_atom_site_fract_x
_atom_site_fract_y
_atom_site_fract_z
Zn1 0.0000 0.0000 0.0000
Hg1 0.5000 0.2355 0.5000
Hg2 0.5000 0.7645 0.5000
Pb1 0.0000 0.5000 0.0000
F1 0.1260 0.2172 0.7771
F2 0.1260 0.7828 0.7771
F3 0.3479 0.0000 0.2383
F4 0.4349 0.5000 0.2578
F5 0.5651 0.5000 0.7422
F6 0.6521 0.0000 0.7617
F7 0.8740 0.2172 0.2229
F8 0.8740 0.7828 0.2229
# density: 7.27 g/cm³
# formation energy (no corrections): -1.860 eV per atom
# E_tot: -0.1313 hartree per atom

=====

# 3
# HgPdF4 (PBE, relaxed)
data_HgPdF4
_chemical_formula_sum 'Hg2 Pd2 F8'
_space_group_name_H-M_alt 'P 1'
_space_group_IT_number 1
_space_group_name_Hall 'P 1'
_cell_length_a 5.6673
_cell_length_b 5.5292
_cell_length_c 5.6061
_cell_angle_alpha 90.00
_cell_angle_beta 92.24
_cell_angle_gamma 90.00
loop_
_atom_site_label
_atom_site_fract_x
_atom_site_fract_y
_atom_site_fract_z
Hg1 0.0000 0.0000 0.0000
Hg2 0.0000 0.5000 0.5000
Pd1 0.5000 0.0000 0.5000
Pd2 0.5000 0.5000 0.0000
F1 0.1700 0.1628 0.3624
F2 0.1700 0.3372 0.8624
F3 0.3397 0.6843 0.3053
F4 0.3397 0.8157 0.8053
F5 0.6603 0.1843 0.1947
F6 0.6603 0.3157 0.6947
F7 0.8300 0.6628 0.1376
F8 0.8300 0.8372 0.6376
# density: 7.25 g/cm³
# formation energy (no corrections): -1.243 eV per atom
# E_tot: -0.1252 hartree per atom
# ΔE to the lowest computed polymorph: 6 meV per atom

=====

# 4
# Hg2PdF8 (PBE, relaxed)
data_Hg2PdF8
_chemical_formula_sum 'Hg2 Pd1 F8'
_space_group_name_H-M_alt 'P 1'
_space_group_IT_number 1
_space_group_name_Hall 'P 1'
_cell_length_a 6.1770
_cell_length_b 6.1770
_cell_length_c 4.6508
_cell_angle_alpha 97.79
_cell_angle_beta 97.79
_cell_angle_gamma 74.97
loop_
_atom_site_label
_atom_site_fract_x
_atom_site_fract_y
_atom_site_fract_z
Hg1 0.1475 0.1475 0.3178
Hg2 0.8525 0.8525 0.6822
Pd1 0.5000 0.5000 0.5000
F1 0.0889 0.0889 0.7829
F2 0.2046 0.5604 0.6448
F3 0.3539 0.3539 0.1567
F4 0.4396 0.7954 0.3552
F5 0.5604 0.2046 0.6448
F6 0.6461 0.6461 0.8433
F7 0.7954 0.4396 0.3552
F8 0.9111 0.9111 0.2171
# density: 6.49 g/cm³
# formation energy (no corrections): -1.343 eV per atom
# E_tot: -0.1187 hartree per atom
# ΔE to the lowest computed polymorph: 5 meV per atom

=====

# 5
# Hg2PdF8 (PBE, relaxed)
data_Hg2PdF8
_chemical_formula_sum 'Hg2 Pd1 F8'
_space_group_name_H-M_alt 'P 1'
_space_group_IT_number 1
_space_group_name_Hall 'P 1'
_cell_length_a 6.1057
_cell_length_b 6.1057
_cell_length_c 4.7021
_cell_angle_alpha 104.60
_cell_angle_beta 104.60
_cell_angle_gamma 77.09
loop_
_atom_site_label
_atom_site_fract_x
_atom_site_fract_y
_atom_site_fract_z
Hg1 0.1588 0.1588 0.3518
Hg2 0.8412 0.8412 0.6482
Pd1 0.5000 0.5000 0.0000
F1 0.0886 0.0886 0.7998
F2 0.1889 0.5384 0.7511
F3 0.3795 0.3795 0.2646
F4 0.4616 0.8111 0.2489
F5 0.5384 0.1889 0.7511
F6 0.6205 0.6205 0.7354
F7 0.8111 0.4616 0.2489
F8 0.9114 0.9114 0.2002
# density: 6.77 g/cm³
# formation energy (no corrections): -1.348 eV per atom
# E_tot: -0.1189 hartree per atom
# ΔE to the lowest computed polymorph: 0 meV per atom

=====

# 6
# Hg3PdF (PBE, relaxed)
data_Hg3PdF
_chemical_formula_sum 'Hg3 Pd1 F1'
_space_group_name_H-M_alt 'P 1'
_space_group_IT_number 1
_space_group_name_Hall 'P 1'
_cell_length_a 5.2568
_cell_length_b 5.2568
_cell_length_c 5.2568
_cell_angle_alpha 90.00
_cell_angle_beta 90.00
_cell_angle_gamma 90.00
loop_
_atom_site_label
_atom_site_fract_x
_atom_site_fract_y
_atom_site_fract_z
Hg1 0.0000 0.0000 0.5000
Hg2 0.0000 0.5000 0.0000
Hg3 0.5000 0.0000 0.0000
Pd1 0.0000 0.0000 0.0000
F1 0.5000 0.5000 0.5000
# density: 8.31 g/cm³
# formation energy (no corrections): -0.245 eV per atom
# E_tot: -0.0676 hartree per atom
# ΔE to the lowest computed polymorph: 0 meV per atom

=====

# 7
# HgPdF3 (PBE, relaxed)
data_HgPdF3
_chemical_formula_sum 'Hg2 Pd2 F6'
_space_group_name_H-M_alt 'P 1'
_space_group_IT_number 1
_space_group_name_Hall 'P 1'
_cell_length_a 4.1318
_cell_length_b 5.7187
_cell_length_c 7.6651
_cell_angle_alpha 73.86
_cell_angle_beta 84.22
_cell_angle_gamma 88.44
loop_
_atom_site_label
_atom_site_fract_x
_atom_site_fract_y
_atom_site_fract_z
Hg1 0.1787 0.3279 0.0923
Hg2 0.8213 0.6721 0.9077
Pd1 0.4815 0.1878 0.5753
Pd2 0.5185 0.8122 0.4247
F1 0.0221 0.8196 0.4034
F2 0.4410 0.9556 0.8338
F3 0.4891 0.5648 0.6746
F4 0.5109 0.4352 0.3254
F5 0.5590 0.0444 0.1662
F6 0.9779 0.1804 0.5966
# density: 6.98 g/cm³
# formation energy (no corrections): -1.123 eV per atom
# E_tot: -0.1229 hartree per atom
# ΔE to the lowest computed polymorph: 0 meV per atom

=====

# 8
# Hg4PdF2 (PBE, relaxed)
data_Hg4PdF2
_chemical_formula_sum 'Hg4 Pd1 F2'
_space_group_name_H-M_alt 'P 1'
_space_group_IT_number 1
_space_group_name_Hall 'P 1'
_cell_length_a 4.2820
_cell_length_b 5.9144
_cell_length_c 6.2974
_cell_angle_alpha 92.22
_cell_angle_beta 90.68
_cell_angle_gamma 111.00
loop_
_atom_site_label
_atom_site_fract_x
_atom_site_fract_y
_atom_site_fract_z
Hg1 0.1079 0.2174 0.3975
Hg2 0.3457 0.6883 0.9998
Hg3 0.6543 0.3117 0.0002
Hg4 0.8921 0.7826 0.6025
Pd1 0.0000 0.0000 0.0000
F1 0.3233 0.6496 0.4119
F2 0.6767 0.3504 0.5881
# density: 10.57 g/cm³
# formation energy (no corrections): -0.638 eV per atom
# E_tot: -0.0767 hartree per atom